Arrangement w

Here is YRu2Rh after structural relaxation from Alexandria. Energies are from PBE.

Values from the calculation:
Symmetry: No. 6

Cell and atoms, written as POSCAR:
```
YRu2Rh
1.0
2.938 0.000 0.000
0.000 4.396 0.000
-1.000 0.000 5.241
Y Ru Rh
1 2 1
direct
0.000 0.000 0.000
0.234 0.500 0.639
0.619 0.000 0.500
0.567 0.500 0.206
```



Arrangement x

Here is YRu2Rh after structural relaxation from Alexandria. Energies are from PBE.

Values from the calculation:
Symmetry: No. 10

Cell and atoms, written as POSCAR:
```
YRu2Rh
1.0
4.778 0.000 0.000
0.000 2.964 0.000
-1.308 0.000 4.662
Y Ru Rh
1 2 1
direct
0.000 0.000 0.000
0.000 0.500 0.500
0.500 0.000 0.500
0.500 0.500 0.000
```



Arrangement y

Here is YRu2Rh after structural relaxation from Alexandria. Energies are from PBE.

Values from the calculation:
Symmetry: No. 8

Cell and atoms, written as POSCAR:
```
YRu2Rh
1.0
9.319 0.000 0.000
0.000 2.982 0.000
-1.101 0.000 4.892
Y Ru Rh
2 4 2
direct
0.000 0.000 0.000
0.500 0.500 0.000
0.004 0.500 0.517
0.238 0.000 0.670
0.504 0.000 0.517
0.738 0.500 0.670
0.261 0.500 0.253
0.761 0.000 0.253
```



Arrangement z

Here is YRu2Rh after structural relaxation from Alexandria. Energies are from PBE.

Values from the calculation:
Symmetry: No. 166

Cell and atoms, written as POSCAR:
```
YRu2Rh
1.0
2.858 0.000 0.000
-1.429 2.475 0.000
0.000 0.000 28.151
Y Ru Rh
3 6 3
direct
0.000 0.000 0.000
0.333 0.667 0.667
0.667 0.333 0.333
0.000 0.000 0.242
0.000 0.000 0.758
0.333 0.667 0.424
0.333 0.667 0.909
0.667 0.333 0.091
0.667 0.333 0.576
0.000 0.000 0.500
0.333 0.667 0.167
0.667 0.333 0.833
```



Verdict on stability: arrangement z comes out at the bottom.